First-principles (PBE with a Hubbard U) data for a relaxed Li3Ni5F12 crystal, as listed in Alexandria via LeMat-Bulk.

abc: 11.0108 11.0108 11.0108
angles: 109.47 109.47 109.47
Element x y z (fractional)
Li 0.1250 0.2500 0.3750
Li 0.1250 0.3750 0.7500
Li 0.2500 0.3750 0.1250
Li 0.2500 0.8750 0.6250
Li 0.3750 0.1250 0.2500
Li 0.3750 0.7500 0.1250
Li 0.6250 0.2500 0.8750
Li 0.6250 0.8750 0.7500
Li 0.7500 0.1250 0.3750
Li 0.7500 0.6250 0.8750
Li 0.8750 0.6250 0.2500
Li 0.8750 0.7500 0.6250
Ni 0.0000 0.0000 0.0000
Ni 0.0000 0.0000 0.5000
Ni 0.0000 0.5000 0.0000
Ni 0.0000 0.5000 0.5000
Ni 0.1250 0.7500 0.8750
Ni 0.1250 0.8750 0.2500
Ni 0.2500 0.1250 0.8750
Ni 0.2500 0.6250 0.3750
Ni 0.3750 0.2500 0.6250
Ni 0.3750 0.6250 0.7500
Ni 0.5000 0.0000 0.0000
Ni 0.5000 0.0000 0.5000
Ni 0.5000 0.5000 0.0000
Ni 0.5000 0.5000 0.5000
Ni 0.6250 0.3750 0.2500
Ni 0.6250 0.7500 0.3750
Ni 0.7500 0.3750 0.6250
Ni 0.7500 0.8750 0.1250
Ni 0.8750 0.1250 0.7500
Ni 0.8750 0.2500 0.1250
F 0.0075 0.6535 0.1665
F 0.0075 0.8540 0.8410
F 0.0130 0.1590 0.6665
F 0.0130 0.3540 0.3465
F 0.1460 0.1590 0.9925
F 0.1460 0.4870 0.1535
F 0.1535 0.1460 0.4870
F 0.1535 0.5075 0.6665
F 0.1590 0.6665 0.0130
F 0.1590 0.9925 0.1460
F 0.1665 0.0075 0.6535
F 0.1665 0.6590 0.5130
F 0.3335 0.8465 0.4925
F 0.3335 0.9870 0.8410
F 0.3410 0.3540 0.5075
F 0.3410 0.4870 0.8335
F 0.3465 0.0130 0.3540
F 0.3465 0.8335 0.9925
F 0.3540 0.3465 0.0130
F 0.3540 0.5075 0.3410
F 0.4870 0.1535 0.1460
F 0.4870 0.8335 0.3410
F 0.4925 0.3335 0.8465
F 0.4925 0.6590 0.6460
F 0.5075 0.3410 0.3540
F 0.5075 0.6665 0.1535
F 0.5130 0.1665 0.6590
F 0.5130 0.8465 0.8540
F 0.6460 0.4925 0.6590
F 0.6460 0.6535 0.9870
F 0.6535 0.1665 0.0075
F 0.6535 0.9870 0.6460
F 0.6590 0.5130 0.1665
F 0.6590 0.6460 0.4925
F 0.6665 0.0130 0.1590
F 0.6665 0.1535 0.5075
F 0.8335 0.3410 0.4870
F 0.8335 0.9925 0.3465
F 0.8410 0.0075 0.8540
F 0.8410 0.3335 0.9870
F 0.8465 0.4925 0.3335
F 0.8465 0.8540 0.5130
F 0.8540 0.5130 0.8465
F 0.8540 0.8410 0.0075
F 0.9870 0.6460 0.6535
F 0.9870 0.8410 0.3335
F 0.9925 0.1460 0.1590
F 0.9925 0.3465 0.8335

SG   Ia-3d (230)
Energy   -4.160 eV/atom
D(E_F)   0.540 states/eV/atom